Entry 1:
Compound: Ce2Mn5Ni5
Source: the Alexandria database
Functional: PBEsol
Structure: optimized geometry

```
Ce2Mn5Ni5
1.0
3.930 0.000 0.000
0.000 4.980 0.000
0.000 0.000 8.512
Ce Mn Ni
2 5 5
Direct
0.000 0.000 0.000
0.000 0.500 0.500
0.000 0.000 0.341
0.000 0.500 0.834
0.000 0.500 0.166
0.000 0.000 0.659
0.500 0.000 0.500
0.500 0.500 0.000
0.500 0.251 0.251
0.500 0.749 0.749
0.500 0.749 0.251
0.500 0.251 0.749
```

## Properties
Energy relative to the elements: -54 meV per atom



Entry 2:
Compound: KAg2As
Source: the Alexandria database
Functional: PBEsol
Structure: optimized geometry

```
KAg2As
1.0
2.950 -0.015 0.000
-0.079 5.505 0.000
-1.435 -2.745 5.066
Ag As K
2 1 1
Direct
0.000 0.000 0.500
0.500 0.500 0.500
0.500 0.000 0.000
0.000 0.500 0.000
```

## Properties
Energy relative to the elements: 222 meV per atom



Entry 3:
Compound: LiSiNi2
Source: the Alexandria database
Functional: PBEsol
Structure: optimized geometry

```
LiSiNi2
1.0
2.643 0.000 0.000
0.000 3.955 0.000
0.000 0.000 3.955
Ni Si Li
2 1 1
Direct
0.000 0.000 0.125
0.000 0.500 0.625
0.500 0.000 0.625
0.500 0.500 0.125
```

## Properties
Uncorrected formation energy: -0.46 eV/atom



Entry 4:
Compound: Ba2LaNbCl
Source: the Alexandria database
Functional: PBEsol
Structure: optimized geometry

```
Ba2LaNbCl
1.0
5.489 0.000 0.000
0.000 5.786 0.000
0.000 0.000 5.786
Nb Cl Ba La
1 1 2 1
Direct
0.500 0.500 0.500
0.000 0.000 0.000
0.000 0.000 0.500
0.000 0.500 0.000
0.500 0.000 0.000
```

## Properties
Uncorrected formation energy: 0.17 eV/atom



Entry 5:
Compound: LiNb2O4
Source: the Alexandria database
Functional: PBEsol
Structure: optimized geometry

```
LiNb2O4
1.0
2.939 0.000 0.000
0.000 5.112 0.000
0.000 0.000 10.459
Li Nb O
2 4 8
Direct
0.500 0.500 0.500
0.000 0.000 0.000
0.500 0.854 0.743
0.500 0.146 0.257
0.000 0.646 0.243
0.000 0.354 0.757
0.500 0.829 0.128
0.500 0.171 0.872
0.500 0.802 0.364
0.500 0.198 0.636
0.000 0.698 0.864
0.000 0.302 0.136
0.000 0.671 0.628
0.000 0.329 0.372
```

## Properties
Uncorrected formation energy: -2.36 eV/atom



Entry 6:
Compound: YTc3Te
Source: the Alexandria database
Functional: PBEsol
Structure: optimized geometry

```
YTc3Te
1.0
-1.725 2.143 3.913
-0.490 -4.261 2.118
4.434 0.362 1.756
Y Te Tc
1 1 3
Direct
0.500 0.500 0.500
0.000 0.000 0.000
0.000 0.500 0.000
0.000 0.000 0.500
0.500 0.000 0.000
```

## Properties
Uncorrected formation energy: 1.15 eV/atom



Entry 7:
Compound: ZnCu
Source: the Alexandria database
Functional: PBEsol
Structure: optimized geometry

```
ZnCu
1.0
-0.965 4.549 -0.273
-4.553 -0.951 0.237
0.176 0.317 4.644
Cu Zn
4 4
Direct
0.398 0.398 0.398
0.102 0.602 0.898
0.602 0.898 0.102
0.898 0.102 0.602
0.097 0.097 0.097
0.403 0.903 0.597
0.903 0.597 0.403
0.597 0.403 0.903
```

## Properties
Energy relative to the elements: -42 meV per atom



Entry 8:
Compound: BaSNF2
Source: the Alexandria database
Functional: PBEsol
Structure: optimized geometry

```
BaSNF2
1.0
-1.953 -2.817 -0.437
3.315 -2.629 2.130
-2.069 0.785 4.189
S N Ba F
1 1 1 2
Direct
0.000 0.000 0.000
0.500 0.000 0.000
0.500 0.500 0.500
0.000 0.000 0.500
0.000 0.500 0.000
```

## Properties
Distance to the lowest polymorph of the same formula: 0.0 meV/atom
Uncorrected formation energy: -1.35 eV/atom



Entry 9:
Compound: OsRuRh2
Source: the Alexandria database
Functional: PBEsol
Structure: optimized geometry

```
OsRuRh2
1.0
-0.408 -2.447 -0.979
2.938 -1.746 3.141
-3.596 0.946 2.769
Rh Os Ru
2 1 1
Direct
0.003 0.003 0.005
0.248 0.748 0.495
0.751 0.254 0.503
0.498 0.496 0.997
```

## Properties
Distance to the lowest polymorph of the same formula: 18.5 meV/atom
Energy relative to the elements: 52 meV per atom



Entry 10:
Compound: FeBrO2
Source: the Alexandria database
Functional: PBEsol
Structure: optimized geometry

```
FeBrO2
1.0
-2.796 0.342 -0.458
-1.741 -2.261 0.048
-2.812 0.550 8.691
O Fe Br
2 1 1
Direct
0.941 0.941 0.176
0.059 0.059 0.824
0.000 0.000 0.000
0.500 0.500 0.500
```

## Properties
Uncorrected formation energy: 0.11 eV/atom



Entry 11:
Compound: La2MoRu
Source: the Alexandria database
Functional: PBEsol
Structure: optimized geometry

```
La2MoRu
1.0
-2.976 0.959 2.596
-0.187 -3.873 1.216
5.023 2.419 1.685
La Mo Ru
2 1 1
Direct
0.000 0.000 0.000
0.750 0.250 0.500
0.500 0.500 0.000
0.250 0.750 0.500
```

## Properties
Energy relative to the elements: 481 meV per atom



Entry 12:
Compound: ZrSICl2
Source: the Alexandria database
Functional: PBEsol
Structure: optimized geometry

```
ZrSICl2
1.0
4.961 0.000 0.000
0.000 4.961 0.000
0.000 0.000 5.058
I S Zr Cl
1 1 1 2
Direct
0.500 0.500 0.500
0.000 0.000 0.500
0.000 0.000 0.000
0.000 0.500 0.000
0.500 0.000 0.000
```

## Properties
Uncorrected formation energy: -0.91 eV/atom



Entry 13:
Compound: Al2GeSb
Source: the Alexandria database
Functional: PBEsol
Structure: optimized geometry

```
Al2GeSb
1.0
-0.157 -5.529 -2.357
-1.296 -2.271 5.414
-4.974 4.531 -2.628
Sb Ge Al
2 2 4
Direct
0.250 0.750 0.500
0.000 0.000 0.000
0.750 0.250 0.500
0.500 0.500 0.000
0.403 0.875 0.250
0.847 0.375 0.250
0.125 0.153 0.750
0.625 0.597 0.750
```

## Properties
Uncorrected formation energy: 0.11 eV/atom



Entry 14:
Compound: Li2CuSiO4
Source: the Alexandria database
Functional: PBEsol
Structure: optimized geometry

```
Li2CuSiO4
1.0
5.104 0.000 0.000
0.000 6.237 0.000
0.000 0.000 10.273
Li Cu Si O
8 4 4 16
Direct
0.792 0.014 0.673
0.708 0.014 0.173
0.792 0.486 0.673
0.708 0.486 0.173
0.292 0.514 0.827
0.208 0.514 0.327
0.208 0.986 0.327
0.292 0.986 0.827
0.176 0.750 0.583
0.324 0.750 0.083
0.676 0.250 0.917
0.824 0.250 0.417
0.803 0.750 0.927
0.697 0.750 0.427
0.303 0.250 0.573
0.197 0.250 0.073
0.682 0.962 0.852
0.818 0.962 0.352
0.123 0.750 0.917
0.783 0.750 0.581
0.717 0.750 0.081
0.377 0.750 0.417
0.682 0.538 0.852
0.818 0.538 0.352
0.318 0.462 0.148
0.182 0.462 0.648
0.283 0.250 0.919
0.623 0.250 0.583
0.217 0.250 0.419
0.877 0.250 0.083
0.182 0.038 0.648
0.318 0.038 0.148
```

## Properties
Distance to the lowest polymorph of the same formula: 0.0 meV/atom
Uncorrected formation energy: -2.00 eV/atom



Entry 15:
Compound: Sc2MnReSi
Source: the Alexandria database
Functional: PBEsol
Structure: optimized geometry

```
Sc2MnReSi
1.0
-3.899 1.222 1.682
1.014 -2.408 4.101
2.051 4.004 1.844
Sc Re Si Mn
2 1 1 1
Direct
0.000 0.000 0.500
0.000 0.500 0.000
0.500 0.000 0.000
0.000 0.000 0.000
0.500 0.500 0.500
```

## Properties
Uncorrected formation energy: 0.62 eV/atom



Entry 16:
Compound: MnTc2Te
Source: the Alexandria database
Functional: PBEsol
Structure: optimized geometry

```
MnTc2Te
1.0
3.203 0.000 0.000
0.000 4.306 0.000
-1.602 -2.153 4.366
Mn Tc Te
1 2 1
Direct
0.000 0.500 0.000
0.764 0.764 0.529
0.236 0.236 0.471
0.500 0.000 0.000
```

## Properties
Uncorrected formation energy: 0.46 eV/atom



Entry 17:
Compound: Ca2H3Br
Source: the Alexandria database
Functional: PBEsol
Structure: optimized geometry

```
Ca2H3Br
1.0
-1.322 2.804 2.270
-1.408 -3.560 0.326
4.724 -1.452 4.544
H Ca Br
3 2 1
Direct
0.333 0.667 0.850
0.667 0.333 0.150
0.000 0.000 0.000
0.333 0.667 0.187
0.667 0.333 0.813
0.000 0.000 0.500
```

## Properties
DFT total energy: -21.86 eV per cell



Entry 18:
Compound: K2TaOs
Source: the Alexandria database
Functional: PBEsol
Structure: optimized geometry

```
K2TaOs
1.0
3.314 0.000 0.000
0.000 6.245 0.000
-1.657 -3.123 6.093
K Os Ta
2 1 1
Direct
0.009 0.009 0.018
0.211 0.711 0.421
0.458 0.458 0.915
0.822 0.322 0.645
```

## Properties
Distance to the lowest polymorph of the same formula: 0.0 meV/atom
Energy relative to the elements: 1063 meV per atom



Entry 19:
Compound: LaNiPt
Source: the Alexandria database
Functional: PBEsol
Structure: optimized geometry

```
LaNiPt
1.0
-2.748 -1.391 3.403
-3.578 -2.727 -0.909
0.057 -4.387 1.348
La Ni Pt
1 1 1
Direct
0.250 0.250 0.250
0.000 0.000 0.000
0.500 0.500 0.500
```

## Properties
Energy relative to the elements: 146 meV per atom



Entry 20:
Compound: CaSc2Si
Source: the Alexandria database
Functional: PBEsol
Structure: optimized geometry

```
CaSc2Si
1.0
3.390 0.000 0.000
0.000 5.109 0.000
-1.695 -2.555 5.354
Ca Sc Si
1 2 1
Direct
0.000 0.500 0.000
0.798 0.798 0.595
0.202 0.202 0.405
0.500 0.000 0.000
```

## Properties
Uncorrected formation energy: -0.27 eV/atom



Entry 21:
Compound: RbBa3Hg
Source: the Alexandria database
Functional: PBEsol
Structure: optimized geometry

```
RbBa3Hg
1.0
6.676 0.000 0.000
0.000 6.676 0.000
0.000 0.000 6.676
Hg Rb Ba
1 1 3
Direct
0.000 0.000 0.000
0.500 0.500 0.500
0.000 0.500 0.000
0.000 0.000 0.500
0.500 0.000 0.000
```

## Properties
Energy relative to the elements: -132 meV per atom



Entry 22:
Compound: Ca2NiSeF
Source: the Alexandria database
Functional: PBEsol
Structure: optimized geometry

```
Ca2NiSeF
1.0
4.202 0.000 0.000
0.000 5.492 0.000
0.000 0.000 5.492
Ni Ca Se F
1 2 1 1
Direct
0.500 0.000 0.000
0.000 0.000 0.500
0.000 0.500 0.000
0.000 0.000 0.000
0.500 0.500 0.500
```

## Properties
Uncorrected formation energy: -0.97 eV/atom



Entry 23:
Compound: KCaMo
Source: the Alexandria database
Functional: PBEsol
Structure: optimized geometry

```
KCaMo
1.0
3.135 0.000 0.000
-1.567 2.715 0.000
0.000 0.000 9.182
Ca K Mo
1 1 1
Direct
0.000 0.000 0.050
0.333 0.667 0.635
0.667 0.333 0.315
```

## Properties
Energy relative to the elements: 1186 meV per atom



Entry 24:
Compound: Zr8AgPd3
Source: the Alexandria database
Functional: PBEsol
Structure: optimized geometry

```
Zr8AgPd3
1.0
3.288 0.000 0.000
0.000 3.288 0.000
0.000 0.000 21.787
Zr Ag Pd
8 1 3
Direct
0.500 0.500 0.085
0.000 0.000 0.331
0.500 0.500 0.577
0.000 0.000 0.822
0.000 0.000 0.178
0.500 0.500 0.423
0.000 0.000 0.669
0.500 0.500 0.915
0.000 0.000 0.000
0.500 0.500 0.254
0.000 0.000 0.500
0.500 0.500 0.746
```

## Properties
Energy relative to the elements: -396 meV per atom



Entry 25:
Compound: MnRu3N
Source: the Alexandria database
Functional: PBEsol
Structure: optimized geometry

```
MnRu3N
1.0
-2.971 2.327 -1.178
-1.396 -2.927 -2.261
-2.203 -1.283 3.021
Ru Mn N
3 1 1
Direct
0.000 0.500 0.000
0.000 0.000 0.500
0.500 0.000 0.000
0.500 0.500 0.500
0.000 0.000 0.000
```

## Properties
Uncorrected formation energy: 0.18 eV/atom



Entry 26:
Compound: CaPt2Cl
Source: the Alexandria database
Functional: PBEsol
Structure: optimized geometry

```
CaPt2Cl
1.0
-0.573 2.815 0.728
-4.074 -1.288 1.776
2.291 -0.751 4.710
Ca Pt Cl
1 2 1
Direct
0.500 0.500 0.000
0.000 0.000 0.752
0.000 0.000 0.248
0.500 0.500 0.500
```

## Properties
Distance to the lowest polymorph of the same formula: 472.1 meV/atom
Uncorrected formation energy: -0.30 eV/atom